Record 1
Density functional theory data (GGA-PBE) for a relaxed Hg2GeOs crystal.

crystal system: cubic
total energy: -12.94 eV/f.u.

a b c (Å): 4.7349 4.7349 4.7349
angles (deg): 60.00 60.00 60.00
With the nearest neighbours (Å) after each atom.
Fractional coordinates of all 4 atoms:
Os1 0.2500 0.2500 0.2500  4 Hg 2.90, 4 Ge 2.90
Ge1 0.5000 0.5000 0.5000  4 Hg 2.90, 4 Os 2.90
Hg1 0.0000 0.0000 0.0000  4 Hg 2.90, 4 Os 2.90
Hg2 0.7500 0.7500 0.7500  4 Ge 2.90, 4 Hg 2.90


Record 2
Density functional theory data (GGA-PBE) for a relaxed HgGeOs crystal.

crystal system: cubic
relative energy among the computed polymorphs: 0 meV per atom

a b c (Å): 4.3785 4.3785 4.3785
angles (deg): 60.00 60.00 60.00
With the nearest neighbours (Å) after each atom.
Fractional coordinates of all 3 atoms:
Hg1 0.7500 0.7500 0.7500  4 Os 2.68
Ge1 0.2500 0.2500 0.2500  4 Os 2.68
Os1 0.0000 0.0000 0.0000  4 Ge 2.68, 4 Hg 2.68


Record 3
Density functional theory data (GGA-PBE) for a relaxed SiHg2GeP4 crystal.

crystal system: tetragonal
total energy: -32.32 eV/f.u.

a b c (Å): 6.7698 6.7698 6.7698
angles (deg): 129.78 129.78 73.76
With the nearest neighbours (Å) after each atom.
Fractional coordinates of all 8 atoms:
Hg1 0.5000 0.5000 0.0000  4 P 2.57
Hg2 0.2500 0.7500 0.5000  4 P 2.58
P1 0.8714 0.9157 0.5306  1 Si 2.28, 1 Ge 2.37
P2 0.0843 0.6149 0.9557  1 Si 2.28, 1 Ge 2.37
P3 0.3851 0.3408 0.4694  1 Si 2.28, 1 Ge 2.37
P4 0.6592 0.1286 0.0443  1 Si 2.28, 1 Ge 2.37
Ge1 0.0000 0.0000 0.0000  4 P 2.37
Si1 0.7500 0.2500 0.5000  4 P 2.28